Model P:
{"formula": "Sr3Ag", "functional": "meta-GGA SCAN", "state": "PBEsol geometry", "n_ef_per_ev_cell": 14.0, "space_group": "No. 62", "lattice": [[8.3630, 0.0000, 0.0000], [0.0000, 10.6207, 0.0000], [0.0000, 0.0000, 7.2400]], "species": ["Sr", "Sr", "Sr", "Sr", "Sr", "Sr", "Sr", "Sr", "Sr", "Sr", "Sr", "Sr", "Ag", "Ag", "Ag", "Ag"], "frac_coords": [[0.0371, 0.2500, 0.1450], [0.1766, 0.0645, 0.6616], [0.1766, 0.4355, 0.6616], [0.3234, 0.5645, 0.1616], [0.3234, 0.9355, 0.1616], [0.4629, 0.7500, 0.6450], [0.5371, 0.2500, 0.3550], [0.6766, 0.0645, 0.8384], [0.6766, 0.4355, 0.8384], [0.8234, 0.5645, 0.3384], [0.8234, 0.9355, 0.3384], [0.9629, 0.7500, 0.8550], [0.1210, 0.7500, 0.4470], [0.3790, 0.2500, 0.9470], [0.6210, 0.7500, 0.0530], [0.8790, 0.2500, 0.5530]]}

Model Q:
{"formula": "Sr3Ag", "functional": "meta-GGA SCAN", "state": "PBEsol geometry", "n_ef_per_ev_cell": 5.8, "space_group": "No. 63", "lattice": [[5.7752, -6.7636, 0.0000], [5.7752, 6.7636, 0.0000], [0.0000, 0.0000, 4.3610]], "species": ["Sr", "Sr", "Sr", "Sr", "Sr", "Sr", "Ag", "Ag"], "frac_coords": [[0.1279, 0.8721, 0.7500], [0.1852, 0.4337, 0.7500], [0.4337, 0.1852, 0.2500], [0.5663, 0.8148, 0.7500], [0.8148, 0.5663, 0.2500], [0.8721, 0.1279, 0.2500], [0.4352, 0.5648, 0.2500], [0.5648, 0.4352, 0.7500]]}

Model R:
{"formula": "Sr3Ag", "functional": "meta-GGA SCAN", "state": "PBEsol geometry", "n_ef_per_ev_cell": 3.5, "space_group": "No. 65", "lattice": [[2.7919, -2.7957, 0.0000], [2.7919, 2.7957, 0.0000], [0.0000, 0.0000, 10.1116]], "species": ["Sr", "Sr", "Sr", "Ag"], "frac_coords": [[0.0000, 0.0000, 0.0000], [0.5000, 0.5000, 0.3176], [0.5000, 0.5000, 0.6824], [0.0000, 0.0000, 0.5000]]}

Model S:
{"formula": "Sr3Ag", "functional": "meta-GGA SCAN", "state": "PBEsol geometry", "n_ef_per_ev_cell": 4.1, "space_group": "No. 71", "lattice": [[-2.0164, 3.0740, 6.4284], [2.0164, -3.0740, 6.4284], [2.0164, 3.0740, -6.4284]], "species": ["Sr", "Sr", "Sr", "Ag"], "frac_coords": [[0.0000, 0.0000, 0.0000], [0.3088, 0.8088, 0.5000], [0.6912, 0.1912, 0.5000], [0.5000, 0.5000, 0.0000]]}

Which structure is most stable? model P, by 48 meV per atom over the runner-up.

Model P:
{"formula": "Sr2Ag", "functional": "meta-GGA SCAN", "state": "PBEsol geometry", "n_ef_per_ev_cell": 4.1, "space_group": "No. 36", "lattice": [[2.0901, -7.0638, 0.0000], [2.0901, 7.0638, 0.0000], [0.0000, 0.0000, 7.5875]], "species": ["Sr", "Sr", "Sr", "Sr", "Ag", "Ag"], "frac_coords": [[0.0144, 0.9856, 0.5000], [0.2812, 0.7188, 0.3139], [0.7188, 0.2812, 0.8139], [0.9856, 0.0144, 0.0000], [0.3857, 0.6143, 0.7209], [0.6143, 0.3857, 0.2209]]}

Model Q:
{"formula": "Sr2Ag", "functional": "meta-GGA SCAN", "state": "PBEsol geometry", "n_ef_per_ev_cell": 2.7, "space_group": "No. 139", "lattice": [[-1.9540, 1.9540, 7.0020], [1.9540, -1.9540, 7.0020], [1.9540, 1.9540, -7.0020]], "species": ["Sr", "Sr", "Ag"], "frac_coords": [[0.1327, 0.1327, 0.0000], [0.8673, 0.8673, 0.0000], [0.5000, 0.5000, 0.0000]]}

Which structure is most stable? model P, by 13 meV per atom over the runner-up.